No. 1
Here is an optimized crystal structure of Cd2Si from Alexandria via LeMat-Bulk. Energies are from PBE-GGA.

a = 4.1895 Å, b = 4.1895 Å, c = 9.0718 Å
α = 90.00°, β = 90.00°, γ = 120.00°
Sites, in units of the cell vectors:
Cd 0.3333 0.6667 0.0906
Cd 0.3333 0.6667 0.4094
Cd 0.6667 0.3333 0.5906
Cd 0.6667 0.3333 0.9094
Si 0.0000 0.0000 0.2500
Si 0.0000 0.0000 0.7500

* formation energy (no corrections): 1.32 eV/f.u.

No. 2
Here is an optimized crystal structure of Cd2Si from Alexandria via LeMat-Bulk. Energies are from PBE-GGA.

a = 6.9757 Å, b = 6.9757 Å, c = 5.3783 Å
α = 90.00°, β = 90.00°, γ = 120.00°
Sites, in units of the cell vectors:
Cd 0.0000 0.3205 0.2615
Cd 0.0000 0.6795 0.7385
Cd 0.3205 0.0000 0.2615
Cd 0.3205 0.3205 0.7385
Cd 0.6795 0.0000 0.7385
Cd 0.6795 0.6795 0.2615
Si 0.0000 0.0000 0.0000
Si 0.3333 0.6667 0.5000
Si 0.6667 0.3333 0.5000

* formation energy (no corrections): 0.98 eV/f.u.

No. 3
Here is an optimized crystal structure of Cd2Si from Alexandria via LeMat-Bulk. Energies are from PBE-GGA.

a = 4.3372 Å, b = 4.3372 Å, c = 6.9378 Å
α = 90.00°, β = 90.00°, γ = 90.00°
Sites, in units of the cell vectors:
Cd 0.2500 0.2500 0.1479
Cd 0.2500 0.7500 0.5000
Cd 0.7500 0.2500 0.5000
Cd 0.7500 0.7500 0.8521
Si 0.2500 0.2500 0.7631
Si 0.7500 0.7500 0.2369

* formation energy (no corrections): 0.91 eV/f.u.

No. 4
Here is an optimized crystal structure of Cd3Si5 from Alexandria via LeMat-Bulk. Energies are from PBE-GGA.

a = 8.5219 Å, b = 8.5219 Å, c = 5.0117 Å
α = 90.00°, β = 90.00°, γ = 120.00°
Sites, in units of the cell vectors:
Cd 0.0000 0.3954 0.2500
Cd 0.0000 0.6046 0.7500
Cd 0.3954 0.0000 0.2500
Cd 0.3954 0.3954 0.7500
Cd 0.6046 0.0000 0.7500
Cd 0.6046 0.6046 0.2500
Si 0.0000 0.1673 0.7500
Si 0.0000 0.8327 0.2500
Si 0.1673 0.0000 0.7500
Si 0.1673 0.1673 0.2500
Si 0.3333 0.6667 0.0000
Si 0.3333 0.6667 0.5000
Si 0.6667 0.3333 0.0000
Si 0.6667 0.3333 0.5000
Si 0.8327 0.0000 0.2500
Si 0.8327 0.8327 0.7500

* formation energy (no corrections): 3.84 eV/f.u.
* excess energy over the best structure of this formula in the dataset: 102 meV per atom

No. 5
Here is an optimized crystal structure of Cd5Si3 from Alexandria via LeMat-Bulk. Energies are from PBE-GGA.

a = 6.1120 Å, b = 6.1120 Å, c = 4.5366 Å
α = 90.00°, β = 90.00°, γ = 95.57°
Sites, in units of the cell vectors:
Cd 0.0000 0.0000 0.0000
Cd 0.0000 0.5000 0.0000
Cd 0.2053 0.7947 0.5000
Cd 0.5000 0.0000 0.0000
Cd 0.7947 0.2053 0.5000
Si 0.3422 0.3422 0.5000
Si 0.5000 0.5000 0.0000
Si 0.6578 0.6578 0.5000

* formation energy (no corrections): 2.75 eV/f.u.
* excess energy over the best structure of this formula in the dataset: 20 meV per atom

No. 6
Here is an optimized crystal structure of CdSi2 from Alexandria via LeMat-Bulk. Energies are from PBE-GGA.

a = 7.5116 Å, b = 7.5116 Å, c = 7.5116 Å
α = 147.79°, β = 147.79°, γ = 46.19°
Sites, in units of the cell vectors:
Cd 0.3750 0.6250 0.7500
Cd 0.6250 0.3750 0.2500
Si 0.0403 0.7903 0.2500
Si 0.2097 0.9597 0.2500
Si 0.7903 0.0403 0.7500
Si 0.9597 0.2097 0.7500

* formation energy (no corrections): 1.28 eV/f.u.
* excess energy over the best structure of this formula in the dataset: 90 meV per atom

Q: What is the formation energy (no corrections) in the first record?
A: 1.32 eV/f.u.